Below is a relaxed structure of Mg2NpVO6, with properties calculated at the PBE with a Hubbard U level.

Computed properties:
Space-group type = No. 146
V = 11.8 Å³ per atom
Magnetic moment = 0.400 μB/atom
DFT total energy = -79.1 eV for the cell shown
DOS(E_F) = 7.30 states/eV/f.u.

a = 5.695 Å, b = 5.695 Å, c = 5.695 Å
α = 55.78°, β = 55.78°, γ = 55.78°
Element x y z (fractional)
Mg 0.000 0.000 0.000
Mg 0.500 0.500 0.500
Np 0.207 0.207 0.207
V 0.706 0.706 0.706
O 0.096 0.424 0.807
O 0.316 0.907 0.611
O 0.424 0.807 0.096
O 0.611 0.316 0.907
O 0.807 0.096 0.424
O 0.907 0.611 0.316